*A*
This record from the Alexandria database describes crystalline MoC at its relaxed geometry. The functional is PBE.

For the total magnetization, the calculation gives 0.0 μB per cell. As for the density of states at the Fermi level: 4.39 states/eV per cell.

Lattice parameters (Å, degrees): 8.0701 8.0701 8.0701 22.24 22.24 22.24
Closest atoms and distances in Å follow each position.
Element x y z (fractional)
1 Mo 0.4910 0.4910 0.4910  3 C 2.00
2 Mo 0.2590 0.2590 0.2590  3 C 2.00
3 C 0.9625 0.9625 0.9625  3 Mo 2.00
4 C 0.7875 0.7875 0.7875  3 Mo 2.00

***

*B*
This record from the Alexandria database describes crystalline MoC at its relaxed geometry. The functional is PBE.

For the total magnetization, the calculation gives 0.0 μB per cell. As for the density of states at the Fermi level: 1.75 states/eV per cell.

Lattice parameters (Å, degrees): 3.0995 3.0995 3.0995 60.00 60.00 60.00
Closest atoms and distances in Å follow each position.
Element x y z (fractional)
1 C 0.0000 0.0000 0.0000  6 Mo 2.19
2 Mo 0.5000 0.5000 0.5000  6 C 2.19

***

In order of decreasing stability: *B*, *A*.

***

*A*
This record from the Alexandria database describes crystalline TlMo2Pt at its relaxed geometry. The functional is PBE.

For the total magnetization, the calculation gives 0.0 μB per cell. As for the density of states at the Fermi level: 4.44 states/eV per cell.

Lattice parameters (Å, degrees): 4.6115 4.6115 4.6115 60.00 60.00 60.00
Closest atoms and distances in Å follow each position.
Element x y z (fractional)
1 Tl 0.5000 0.5000 0.5000  8 Mo 2.82
2 Pt 0.0000 0.0000 0.0000  8 Mo 2.82
3 Mo 0.7500 0.7500 0.7500  4 Tl 2.82, 4 Pt 2.82
4 Mo 0.2500 0.2500 0.2500  4 Tl 2.82, 4 Pt 2.82

***

*B*
This record from the Alexandria database describes crystalline TlMo2Pt at its relaxed geometry. The functional is PBE.

For the total magnetization, the calculation gives 0.0 μB per cell. As for the density of states at the Fermi level: 9.20 states/eV per cell.

Lattice parameters (Å, degrees): 7.4685 7.4685 5.9472 51.11 51.11 90.00
Closest atoms and distances in Å follow each position.
Element x y z (fractional)
1 Mo 0.8750 0.8488 0.7500  2 Pt 2.60, 2 Mo 2.76, 2 Tl 2.86
2 Mo 0.3750 0.4012 0.7500  2 Pt 2.60, 2 Mo 2.76, 2 Tl 2.86
3 Mo 0.5988 0.1250 0.2500  2 Pt 2.60, 2 Mo 2.76, 2 Tl 2.86
4 Mo 0.1512 0.6250 0.2500  2 Pt 2.60, 2 Mo 2.76, 2 Tl 2.86
5 Pt 0.5000 0.5000 0.0000  4 Mo 2.60, 2 Tl 2.74
6 Pt 0.2500 0.7500 0.5000  4 Mo 2.60, 2 Tl 2.74
7 Tl 0.0000 0.0000 0.0000  2 Pt 2.74, 4 Mo 2.86
8 Tl 0.7500 0.2500 0.5000  2 Pt 2.74, 4 Mo 2.86

***

In order of decreasing stability: *A*, *B*.